The following is a DFT calculation (PBE) of crystalline Ce5PaC4 at its relaxed geometry.

crystal system	monoclinic
Fermi-level density of states	35.50	states/eV per cell
E_form	-1.89	eV/f.u.
uncorrected energy	-7.79	eV per atom

Cell: 15.742 3.576 7.304 Å, 90.00 101.78 90.00°
Space group C2/m (No. 12)
Inequivalent atoms, fractional coordinates:
Ce 0.000 0.000 0.000 (multiplicity 2)
Ce 0.161 0.500 0.811 (multiplicity 4)
Ce 0.167 0.500 0.337 (multiplicity 4)
Pa 0.000 0.000 0.500 (multiplicity 2)
C 0.003 0.500 0.741 (multiplicity 4)
C 0.163 0.000 0.575 (multiplicity 4)

---

The following is a DFT calculation (PBE) of crystalline CePaC at its relaxed geometry.

crystal system	trigonal
Fermi-level density of states	4.50	states/eV per cell
E_form	-0.32	eV/f.u.
uncorrected energy	-8.32	eV per atom

Cell: 3.5531 3.5531 4.9797 Å, 90.00 90.00 120.00°
Space group P3m1 (No. 156)
Inequivalent atoms, fractional coordinates:
Ce 0.0000 0.0000 0.0000 (multiplicity 1)
Pa 0.3333 0.6667 0.5927 (multiplicity 1)
C 0.6667 0.3333 0.3208 (multiplicity 1)

---

The following is a DFT calculation (PBE) of crystalline CePaC at its relaxed geometry.

crystal system	tetragonal
Fermi-level density of states	11.05	states/eV per cell
E_form	0.34	eV/f.u.
uncorrected energy	-8.10	eV per atom

Cell: 3.102 3.102 11.915 Å, 90.00 90.00 90.00°
Space group I4mm (No. 107)
Inequivalent atoms, fractional coordinates:
Ce 0.000 0.000 0.000 (multiplicity 2)
Pa 0.000 0.000 0.240 (multiplicity 2)
C 0.000 0.000 0.640 (multiplicity 2)

---

The following is a DFT calculation (PBE) of crystalline CePa2C at its relaxed geometry.

crystal system	trigonal
Fermi-level density of states	23.01	states/eV per cell
E_form	-0.34	eV/f.u.
uncorrected energy	-8.62	eV per atom

Cell: 3.2887 3.2887 27.0554 Å, 90.00 90.00 120.00°
Space group R-3m (No. 166, hexagonal axes)
Inequivalent atoms, fractional coordinates:
Ce 0.0000 0.0000 0.0000 (multiplicity 3)
Pa 0.0000 0.0000 0.1111 (multiplicity 6)
C 0.0000 0.0000 0.5000 (multiplicity 3)

---

The following is a DFT calculation (PBE) of crystalline CePa2C3 at its relaxed geometry.

crystal system	orthorhombic
Fermi-level density of states	11.11	states/eV per cell
E_form	-2.06	eV/f.u.
uncorrected energy	-9.11	eV per atom

Cell: 3.622 5.112 10.892 Å, 90.00 90.00 90.00°
Space group Immm (No. 71)
Inequivalent atoms, fractional coordinates:
Ce 0.000 0.000 0.000 (multiplicity 2)
Pa 0.000 0.000 0.334 (multiplicity 4)
C 0.000 0.500 0.000 (multiplicity 2)
C 0.000 0.500 0.320 (multiplicity 4)

---

The following is a DFT calculation (PBE) of crystalline CePaC at its relaxed geometry.

crystal system	cubic
Fermi-level density of states	19.52	states/eV per cell
E_form	0.41	eV/f.u.
uncorrected energy	-8.08	eV per atom

Cell: 6.018 6.018 6.018 Å, 90.00 90.00 90.00°
Space group F-43m (No. 216)
Inequivalent atoms, fractional coordinates:
Ce 0.000 0.000 0.000 (multiplicity 4)
Pa 0.000 0.000 0.500 (multiplicity 4)
C 0.250 0.250 0.750 (multiplicity 4)

---

The following is a DFT calculation (PBE) of crystalline CePa2C3 at its relaxed geometry.

crystal system	orthorhombic
Fermi-level density of states	21.71	states/eV per cell
E_form	0.73	eV/f.u.
uncorrected energy	-8.64	eV per atom

Cell: 3.829 17.731 8.078 Å, 90.00 90.00 90.00°
Space group Cmcm (No. 63)
Inequivalent atoms, fractional coordinates:
Ce 0.000 0.155 0.250 (multiplicity 4)
Pa 0.000 0.133 0.750 (multiplicity 4)
Pa 0.000 0.500 0.000 (multiplicity 4)
C 0.000 0.087 0.016 (multiplicity 8)
C 0.000 0.434 0.250 (multiplicity 4)

---

The following is a DFT calculation (PBE) of crystalline Ce2Pa3C4 at its relaxed geometry.

crystal system	monoclinic
Fermi-level density of states	26.21	states/eV per cell
E_form	-2.88	eV/f.u.
uncorrected energy	-8.90	eV per atom

Cell: 11.884 3.560 8.805 Å, 90.00 119.25 90.00°
Space group C2/m (No. 12)
Inequivalent atoms, fractional coordinates:
Ce 0.101 0.000 0.395 (multiplicity 4)
Pa 0.000 0.500 0.000 (multiplicity 2)
Pa 0.200 0.500 0.800 (multiplicity 4)
C 0.115 0.000 0.921 (multiplicity 4)
C 0.200 0.500 0.290 (multiplicity 4)

---

The following is a DFT calculation (PBE) of crystalline CePa4C5 at its relaxed geometry.

crystal system	tetragonal
Fermi-level density of states	18.10	states/eV per cell
E_form	-3.72	eV/f.u.
uncorrected energy	-9.38	eV per atom

Cell: 3.612 3.612 25.516 Å, 90.00 90.00 90.00°
Space group I4/mmm (No. 139)
Inequivalent atoms, fractional coordinates:
Ce 0.000 0.000 0.000 (multiplicity 2)
Pa 0.000 0.000 0.200 (multiplicity 4)
Pa 0.000 0.000 0.400 (multiplicity 4)
C 0.000 0.000 0.103 (multiplicity 4)
C 0.000 0.000 0.301 (multiplicity 4)
C 0.000 0.000 0.500 (multiplicity 2)

---

The following is a DFT calculation (PBE) of crystalline CePaC at its relaxed geometry.

crystal system	orthorhombic
Fermi-level density of states	14.59	states/eV per cell
E_form	0.33	eV/f.u.
uncorrected energy	-8.11	eV per atom

Cell: 6.346 5.899 5.899 Å, 90.00 90.00 90.00°
Space group Ama2 (No. 40)
Inequivalent atoms, fractional coordinates:
Ce 0.250 0.249 0.000 (multiplicity 4)
Pa 0.250 0.249 0.500 (multiplicity 4)
C 0.000 0.000 0.750 (multiplicity 4)

---

The following is a DFT calculation (PBE) of crystalline CePa5C6 at its relaxed geometry.

crystal system	monoclinic
Fermi-level density of states	23.91	states/eV per cell
E_form	-4.79	eV/f.u.
uncorrected energy	-9.46	eV per atom

Cell: 6.247 10.820 6.247 Å, 90.00 109.41 90.00°
Space group C2/m (No. 12)
Inequivalent atoms, fractional coordinates:
Ce 0.000 0.000 0.000 (multiplicity 2)
Pa 0.000 0.165 0.500 (multiplicity 4)
Pa 0.000 0.333 0.000 (multiplicity 4)
Pa 0.000 0.500 0.500 (multiplicity 2)
C 0.233 0.500 0.250 (multiplicity 4)
C 0.239 0.326 0.740 (multiplicity 8)

---

The following is a DFT calculation (PBE) of crystalline CePa2C at its relaxed geometry.

crystal system	tetragonal
Fermi-level density of states	8.39	states/eV per cell
E_form	0.59	eV/f.u.
uncorrected energy	-8.39	eV per atom

Cell: 3.079 3.079 8.457 Å, 90.00 90.00 90.00°
Space group P4/mmm (No. 123)
Inequivalent atoms, fractional coordinates:
Ce 0.000 0.000 0.000 (multiplicity 1)
Pa 0.500 0.500 0.330 (multiplicity 2)
C 0.000 0.000 0.500 (multiplicity 1)

---

The following is a DFT calculation (PBE) of crystalline CePa2ReC4 at its relaxed geometry.

crystal system	orthorhombic
Fermi-level density of states	38.26	states/eV per cell
E_form	-1.31	eV/f.u.
uncorrected energy	-9.45	eV per atom

Cell: 3.587 11.879 12.097 Å, 90.00 90.00 90.00°
Space group Cmcm (No. 63)
Inequivalent atoms, fractional coordinates:
Ce 0.000 0.110 0.250 (multiplicity 4)
Pa 0.000 0.367 0.043 (multiplicity 8)
Re 0.000 0.151 0.750 (multiplicity 4)
C 0.000 0.000 0.000 (multiplicity 4)
C 0.000 0.263 0.627 (multiplicity 8)
C 0.000 0.432 0.250 (multiplicity 4)

---

The following is a DFT calculation (PBE) of crystalline Ce2PaReC4 at its relaxed geometry.

crystal system	orthorhombic
Fermi-level density of states	40.83	states/eV per cell
E_form	0.04	eV/f.u.
uncorrected energy	-8.83	eV per atom

Cell: 3.446 11.831 12.554 Å, 90.00 90.00 90.00°
Space group Cmcm (No. 63)
Inequivalent atoms, fractional coordinates:
Ce 0.000 0.136 0.039 (multiplicity 8)
Pa 0.000 0.394 0.250 (multiplicity 4)
Re 0.000 0.345 0.750 (multiplicity 4)
C 0.000 0.054 0.250 (multiplicity 4)
C 0.000 0.227 0.639 (multiplicity 8)
C 0.000 0.500 0.000 (multiplicity 4)

---

The following is a DFT calculation (PBE) of crystalline CePaCS2 at its relaxed geometry.

crystal system	tetragonal
energy relative to the elements, uncorrected	-1.33	eV/atom
Fermi-level density of states	13.50	states/eV per cell
uncorrected energy	-7.91	eV per atom

Cell: 3.936 3.936 14.003 Å, 90.00 90.00 90.00°
Space group P4/nmm (No. 129, origin choice 2)
Inequivalent atoms, fractional coordinates:
Ce 0.250 0.250 0.119 (multiplicity 2)
Pa 0.250 0.250 0.586 (multiplicity 2)
C 0.250 0.750 0.500 (multiplicity 2)
S 0.250 0.250 0.309 (multiplicity 2)
S 0.250 0.250 0.906 (multiplicity 2)

---

The following is a DFT calculation (PBE) of crystalline CePaCS at its relaxed geometry.

crystal system	trigonal
energy relative to the elements, uncorrected	-0.89	eV/atom
Fermi-level density of states	41.13	states/eV per cell
uncorrected energy	-8.09	eV per atom

Cell: 3.9035 3.9035 40.0572 Å, 90.00 90.00 120.00°
Space group R-3m (No. 166, hexagonal axes)
Inequivalent atoms, fractional coordinates:
Ce 0.0000 0.0000 0.2046 (multiplicity 6)
Pa 0.0000 0.0000 0.3696 (multiplicity 6)
C 0.0000 0.0000 0.3112 (multiplicity 6)
S 0.0000 0.0000 0.0845 (multiplicity 6)

---

The following is a DFT calculation (PBE) of crystalline CePaCSe at its relaxed geometry.

crystal system	trigonal
energy relative to the elements, uncorrected	-0.76	eV/atom
Fermi-level density of states	22.08	states/eV per cell
uncorrected energy	-7.80	eV per atom

Cell: 3.9395 3.9395 38.1397 Å, 90.00 90.00 120.00°
Space group R-3m (No. 166, hexagonal axes)
Inequivalent atoms, fractional coordinates:
Ce 0.0000 0.0000 0.1887 (multiplicity 6)
Pa 0.0000 0.0000 0.3709 (multiplicity 6)
C 0.0000 0.0000 0.3098 (multiplicity 6)
Se 0.0000 0.0000 0.0920 (multiplicity 6)

---

The following is a DFT calculation (PBE) of crystalline CePaCSe2 at its relaxed geometry.

crystal system	tetragonal
energy relative to the elements, uncorrected	-1.20	eV/atom
Fermi-level density of states	14.83	states/eV per cell
uncorrected energy	-7.53	eV per atom

Cell: 4.053 4.053 14.682 Å, 90.00 90.00 90.00°
Space group P4/nmm (No. 129, origin choice 2)
Inequivalent atoms, fractional coordinates:
Ce 0.250 0.250 0.123 (multiplicity 2)
Pa 0.250 0.250 0.577 (multiplicity 2)
C 0.250 0.750 0.500 (multiplicity 2)
Se 0.250 0.250 0.312 (multiplicity 2)
Se 0.250 0.250 0.909 (multiplicity 2)

---

The following is a DFT calculation (PBE) of crystalline CePa2SiC4 at its relaxed geometry.

crystal system	orthorhombic
energy relative to the elements, uncorrected	-0.26	eV/atom
Fermi-level density of states	28.20	states/eV per cell
uncorrected energy	-8.67	eV per atom

Cell: 3.580 11.721 11.801 Å, 90.00 90.00 90.00°
Space group Cmcm (No. 63)
Inequivalent atoms, fractional coordinates:
Ce 0.000 0.100 0.250 (multiplicity 4)
Pa 0.000 0.369 0.051 (multiplicity 8)
Si 0.000 0.167 0.750 (multiplicity 4)
C 0.000 0.000 0.000 (multiplicity 4)
C 0.000 0.265 0.625 (multiplicity 8)
C 0.000 0.421 0.250 (multiplicity 4)

---

The following is a DFT calculation (PBE) of crystalline CePa2TcC4 at its relaxed geometry.

crystal system	orthorhombic
Fermi-level density of states	34.01	states/eV per cell
E_form	-1.33	eV/f.u.
uncorrected energy	-9.19	eV per atom

Cell: 3.589 11.880 11.924 Å, 90.00 90.00 90.00°
Space group Cmcm (No. 63)
Inequivalent atoms, fractional coordinates:
Ce 0.000 0.113 0.250 (multiplicity 4)
Pa 0.000 0.368 0.045 (multiplicity 8)
Tc 0.000 0.148 0.750 (multiplicity 4)
C 0.000 0.000 0.000 (multiplicity 4)
C 0.000 0.264 0.626 (multiplicity 8)
C 0.000 0.437 0.250 (multiplicity 4)